Entry 1:
The following is a PBE calculation of a relaxed structure of TmPuTh2As4, from the Alexandria database.

abc: 7.2118 4.2040 7.2655
angles: 90.00 109.71 90.00
Sites, in units of the cell vectors:
Tm 0.0000 0.0000 0.0000
Pu 0.0000 0.5000 0.5000
Th 0.5000 0.0000 0.5000
Th 0.5000 0.5000 0.0000
As 0.2413 0.0000 0.7492
As 0.2406 0.5000 0.2442
As 0.7587 0.0000 0.2508
As 0.7594 0.5000 0.7558

Values from the calculation:
Its density of states at the Fermi level is 12.747 states/eV per cell. The volume comes out at 25.92 Å³ per atom. The value obtained for the total energy is -0.2895 Ha/atom.

=====

Entry 2:
The following is a PBE calculation of a relaxed structure of PuThU2As4, from the Alexandria database.

abc: 7.0960 4.1092 7.3046
angles: 90.00 109.03 90.00
Sites, in units of the cell vectors:
Pu 0.0000 0.0000 0.0000
Th 0.5000 0.5000 0.0000
U 0.0000 0.5000 0.5000
U 0.5000 0.0000 0.5000
As 0.2434 0.0000 0.7400
As 0.2487 0.5000 0.2569
As 0.7513 0.5000 0.7431
As 0.7566 0.0000 0.2600

Values from the calculation:
Its density of states at the Fermi level is 20.506 states/eV per cell. The volume comes out at 25.17 Å³ per atom. The value obtained for the total energy is -0.3247 Ha/atom.